(1)
The following is a GGA-PBE calculation of a relaxed TaHgOs2 crystal, from Alexandria via LeMat-Bulk.

Structure (POSCAR):
```
TaHgOs2
1.0
2.8452 -0.0006 0.0000
-1.1350 2.6090 0.0000
0.0000 0.0000 9.2742
Hg Os Ta
1 2 1
Cartesian
0.8551 1.3042 6.9557
0.0000 0.0000 0.2269
0.0000 0.0000 4.4102
0.8551 1.3042 2.3186
```

Results
Theoretical density = 18.4 g/cm³
Total DFT energy (no corrections) = -33.05 eV for the cell shown
Total magnetic moment = 0.00 μB per atom
ΔH_f (0 K) = 0.39 eV/atom
SG = No. 65

***

(2)
The following is a GGA-PBE calculation of a relaxed SmCdInBi crystal, from Alexandria via LeMat-Bulk.

Structure (POSCAR):
```
SmCdInBi
1.0
-4.0578 -1.0451 -1.8460
2.1542 -2.8479 -3.1231
-0.4555 -3.8053 3.1558
Sm Cd In Bi
1 1 1 1
Cartesian
0.8493 -3.3266 0.0164
0.0000 0.0000 0.0000
-0.9518 -1.9465 -2.4845
-2.2567 -2.4252 0.6549
```

Results
Theoretical density = 9.0 g/cm³
Total DFT energy (no corrections) = -13.94 eV for the cell shown
Total magnetic moment = 0.00 μB per atom
ΔH_f (0 K) = -0.42 eV/atom
SG = No. 47

***

(3)
The following is a GGA-PBE calculation of a relaxed USbRh3 crystal, from Alexandria via LeMat-Bulk.

Structure (POSCAR):
```
USbRh3
1.0
-2.3591 -5.9729 -1.9902
3.0927 -1.2068 -7.0129
5.3281 -5.1745 2.2447
U Sb Rh
4 4 12
Cartesian
4.3831 -9.8416 -2.7789
1.4701 -7.2227 -0.9531
1.6785 -2.5126 -3.9796
4.5916 -5.1315 -5.8054
2.6071 -2.8850 -7.0791
3.4546 -9.4693 0.3206
3.8889 -5.1601 -1.7705
2.1728 -7.1941 -4.9880
1.2272 -5.0524 -6.2882
2.1670 -7.6473 -7.6273
4.8344 -7.3018 -0.4703
3.8946 -4.7069 0.8688
-0.6963 -6.4796 -3.5156
5.2259 -8.2353 -5.6981
6.7580 -5.8746 -3.2429
0.8358 -4.1189 -1.0604
4.1683 -7.5065 -3.2275
1.1011 -8.5216 -2.9220
1.8934 -4.8477 -3.5309
4.9605 -3.8326 -3.8365
```

Results
Theoretical density = 11.8 g/cm³
Total DFT energy (no corrections) = -159.36 eV for the cell shown
Total magnetic moment = 0.00 μB per atom
SG = No. 15